Computed, not measured: a relaxed Pa2Co4Ge3H2 crystal at the PBE level of DFT.

The structure belongs to space group I4/mmm (No. 139); the cell edges are 3.9129, 3.9129 and 19.5321 Å and the angles 90.00°, 90.00° and 90.00°. The inequivalent atoms are Pa at (0.0000, 0.0000, 0.1921), Co at (0.0000, 0.5000, 0.0741), Ge at (0.0000, 0.0000, 0.3498), Ge at (0.0000, 0.0000, 0.5000) and H at (0.0000, 0.0000, 0.0704).

As for the final energy: -70.64 eV/f.u.

***

Computed, not measured: a relaxed PmCoGeH crystal at the PBE level of DFT.

The structure belongs to space group P4/nmm (No. 129, origin choice 2); the cell edges are 3.9637, 3.9637 and 7.6750 Å and the angles 90.00°, 90.00° and 90.00°. The inequivalent atoms are Pm at (0.2500, 0.2500, 0.1676), Co at (0.2500, 0.7500, 0.5000), Ge at (0.2500, 0.2500, 0.6660) and H at (0.2500, 0.7500, 0.0000).

As for the final energy: -22.45 eV/f.u.

***

Computed, not measured: a relaxed PmCoGeH2 crystal at the PBE level of DFT.

The structure belongs to space group Cmcm (No. 63); the cell edges are 3.8766, 10.5861 and 5.8898 Å and the angles 90.00°, 90.00° and 90.00°. The inequivalent atoms are Pm at (0.0000, 0.2090, 0.2500), Co at (0.0000, 0.5000, 0.0000), Ge at (0.0000, 0.0679, 0.7500) and H at (0.0000, 0.3496, 0.5524).

As for the final energy: -25.72 eV/f.u.

***

Computed, not measured: a relaxed PrCo2GeH crystal at the PBE level of DFT.

The structure belongs to space group Cmcm (No. 63); the cell edges are 3.8499, 10.5702 and 6.8546 Å and the angles 90.00°, 90.00° and 90.00°. The inequivalent atoms are Pr at (0.0000, 0.0635, 0.2500), Co at (0.0000, 0.3378, 0.0579), Ge at (0.0000, 0.2183, 0.7500) and H at (0.0000, 0.5000, 0.0000).

As for the final energy: -28.84 eV/f.u.

***

Computed, not measured: a relaxed Pu2Co2Ge2H crystal at the PBE level of DFT.

The structure belongs to space group I4/mmm (No. 139); the cell edges are 3.8704, 3.8704 and 14.5418 Å and the angles 90.00°, 90.00° and 90.00°. The inequivalent atoms are Pu at (0.0000, 0.0000, 0.1757), Co at (0.0000, 0.5000, 0.0000), Ge at (0.0000, 0.0000, 0.3979) and H at (0.0000, 0.0000, 0.0000).

As for the final energy: -57.83 eV/f.u.

***

Computed, not measured: a relaxed CoGeHRh2 crystal at the PBE level of DFT.

The structure belongs to space group P4/mmm (No. 123); the cell edges are 3.8879, 3.8879 and 3.6654 Å and the angles 90.00°, 90.00° and 90.00°. The inequivalent atoms are Co at (0.0000, 0.0000, 0.0000), Ge at (0.5000, 0.5000, 0.0000), H at (0.0000, 0.0000, 0.5000) and Rh at (0.0000, 0.5000, 0.5000).

As for the final energy: -30.75 eV/f.u.

***

Computed, not measured: a relaxed CoGe2HS crystal at the PBE level of DFT.

The structure belongs to space group P4/mmm (No. 123); the cell edges are 4.5917, 4.5917 and 4.2447 Å and the angles 90.00°, 90.00° and 90.00°. The inequivalent atoms are Co at (0.0000, 0.0000, 0.0000), Ge at (0.0000, 0.5000, 0.0000), H at (0.5000, 0.5000, 0.5000) and S at (0.0000, 0.0000, 0.5000).

As for the final energy: -20.99 eV/f.u.

***

Computed, not measured: a relaxed ScCoGeH crystal at the PBE level of DFT.

The structure belongs to space group P4/nmm (No. 129, origin choice 2); the cell edges are 3.7741, 3.7741 and 6.8980 Å and the angles 90.00°, 90.00° and 90.00°. The inequivalent atoms are Sc at (0.2500, 0.2500, 0.1538), Co at (0.2500, 0.7500, 0.5000), Ge at (0.2500, 0.2500, 0.6961) and H at (0.2500, 0.7500, 0.0000).

As for the final energy: -23.84 eV/f.u.

***

Computed, not measured: a relaxed Sc2Co5Ge3H2 crystal at the PBE level of DFT.

The structure belongs to space group I4/mmm (No. 139); the cell edges are 3.7336, 3.7336 and 20.3745 Å and the angles 90.00°, 90.00° and 90.00°. The inequivalent atoms are Sc at (0.0000, 0.0000, 0.1965), Co at (0.0000, 0.0000, 0.0000), Co at (0.0000, 0.5000, 0.0859), Ge at (0.0000, 0.0000, 0.3383), Ge at (0.0000, 0.0000, 0.5000) and H at (0.0000, 0.0000, 0.0847).

As for the final energy: -73.25 eV/f.u.

***

Computed, not measured: a relaxed Sc2Co2Ge2H crystal at the PBE level of DFT.

The structure belongs to space group I4/mmm (No. 139); the cell edges are 3.7945, 3.7945 and 13.2803 Å and the angles 90.00°, 90.00° and 90.00°. The inequivalent atoms are Sc at (0.0000, 0.0000, 0.1654), Co at (0.0000, 0.5000, 0.0000), Ge at (0.0000, 0.0000, 0.3818) and H at (0.0000, 0.0000, 0.0000).

As for the final energy: -43.69 eV/f.u.

***

Computed, not measured: a relaxed SmCoGeH crystal at the PBE level of DFT.

The structure belongs to space group P4/nmm (No. 129, origin choice 2); the cell edges are 3.9530, 3.9530 and 7.6023 Å and the angles 90.00°, 90.00° and 90.00°. The inequivalent atoms are Sm at (0.2500, 0.2500, 0.1666), Co at (0.2500, 0.7500, 0.5000), Ge at (0.2500, 0.2500, 0.6685) and H at (0.2500, 0.7500, 0.0000).

As for the final energy: -22.44 eV/f.u.

***

Computed, not measured: a relaxed CoSn2GeH crystal at the PBE level of DFT.

The structure belongs to space group P4/mmm (No. 123); the cell edges are 5.1382, 5.1382 and 3.3129 Å and the angles 90.00°, 90.00° and 90.00°. The inequivalent atoms are Co at (0.0000, 0.0000, 0.0000), Sn at (0.0000, 0.5000, 0.0000), Ge at (0.5000, 0.5000, 0.5000) and H at (0.0000, 0.0000, 0.5000).

As for the final energy: -21.75 eV/f.u.

***

Computed, not measured: a relaxed CoTc2GeH crystal at the PBE level of DFT.

The structure belongs to space group P4/mmm (No. 123); the cell edges are 4.1983, 4.1983 and 3.1843 Å and the angles 90.00°, 90.00° and 90.00°. The inequivalent atoms are Co at (0.0000, 0.0000, 0.0000), Tc at (0.0000, 0.5000, 0.5000), Ge at (0.5000, 0.5000, 0.0000) and H at (0.0000, 0.0000, 0.5000).

As for the final energy: -35.44 eV/f.u.

***

Computed, not measured: a relaxed ThCo2GeH crystal at the PBE level of DFT.

The structure belongs to space group Cmcm (No. 63); the cell edges are 3.9515, 10.6340 and 6.5950 Å and the angles 90.00°, 90.00° and 90.00°. The inequivalent atoms are Th at (0.0000, 0.0808, 0.2500), Co at (0.0000, 0.3407, 0.0503), Ge at (0.0000, 0.2038, 0.7500) and H at (0.0000, 0.5000, 0.0000).

As for the final energy: -31.95 eV/f.u.

***

Computed, not measured: a relaxed ThCoGeH crystal at the PBE level of DFT.

The structure belongs to space group P3m1 (No. 156); the cell edges are 4.1630, 4.1630 and 4.1466 Å and the angles 90.00°, 90.00° and 120.00°. The inequivalent atoms are Th at (0.0000, 0.0000, 0.0000), Co at (0.6667, 0.3333, 0.5592), Ge at (0.3333, 0.6667, 0.4952) and H at (0.6667, 0.3333, 0.9518).

As for the final energy: -24.95 eV/f.u.

***

Computed, not measured: a relaxed TiCo2GeH crystal at the PBE level of DFT.

The structure belongs to space group P4/mmm (No. 123); the cell edges are 4.3632, 4.3632 and 4.8849 Å and the angles 90.00°, 90.00° and 90.00°. The inequivalent atoms are Ti at (0.0000, 0.0000, 0.0000), Co at (0.0000, 0.5000, 0.5000), Ge at (0.0000, 0.0000, 0.5000) and H at (0.5000, 0.5000, 0.0000).

As for the energy above the most stable polymorph in this dataset: 1561 meV/atom. As for the final energy: -23.90 eV/f.u.

***

Computed, not measured: a relaxed TiCo2GeH crystal at the PBE level of DFT.

The structure belongs to space group P4/mmm (No. 123); the cell edges are 3.7213, 3.7213 and 3.7740 Å and the angles 90.00°, 90.00° and 90.00°. The inequivalent atoms are Ti at (0.0000, 0.0000, 0.0000), Co at (0.0000, 0.5000, 0.5000), Ge at (0.5000, 0.5000, 0.0000) and H at (0.0000, 0.0000, 0.5000).

As for the energy above the most stable polymorph in this dataset: 20 meV/atom. As for the final energy: -31.61 eV/f.u.

***

Computed, not measured: a relaxed Ti2Co5Ge3H2 crystal at the PBE level of DFT.

The structure belongs to space group I4/mmm (No. 139); the cell edges are 3.6394, 3.6394 and 19.9154 Å and the angles 90.00°, 90.00° and 90.00°. The inequivalent atoms are Ti at (0.0000, 0.0000, 0.1984), Co at (0.0000, 0.0000, 0.0000), Co at (0.0000, 0.5000, 0.0899), Ge at (0.0000, 0.0000, 0.3300), Ge at (0.0000, 0.0000, 0.5000) and H at (0.0000, 0.0000, 0.0887).

As for the final energy: -75.96 eV/f.u.

***

Computed, not measured: a relaxed TiCo2GeH crystal at the PBE level of DFT.

The structure belongs to space group Cmcm (No. 63); the cell edges are 2.8144, 11.2862 and 6.8049 Å and the angles 90.00°, 90.00° and 90.00°. The inequivalent atoms are Ti at (0.0000, 0.0147, 0.2500), Co at (0.0000, 0.3598, 0.0519), Ge at (0.0000, 0.2618, 0.7500) and H at (0.0000, 0.5000, 0.0000).

As for the energy above the most stable polymorph in this dataset: 0 meV/atom. As for the final energy: -31.71 eV/f.u.

***

Computed, not measured: a relaxed UCo4GeH6 crystal at the PBE level of DFT.

The structure belongs to space group P6/mmm (No. 191); the cell edges are 4.2066, 4.2066 and 6.4685 Å and the angles 90.00°, 90.00° and 120.00°. The inequivalent atoms are U at (0.0000, 0.0000, 0.0000), Co at (0.3333, 0.6667, 0.3152), Ge at (0.0000, 0.0000, 0.5000) and H at (0.0000, 0.5000, 0.1458).

As for the final energy: -65.57 eV/f.u.

***

Computed, not measured: a relaxed UCoGeH crystal at the PBE level of DFT.

The structure belongs to space group P3m1 (No. 156); the cell edges are 4.0519, 4.0519 and 3.7704 Å and the angles 90.00°, 90.00° and 120.00°. The inequivalent atoms are U at (0.0000, 0.0000, 0.0000), Co at (0.6667, 0.3333, 0.3978), Ge at (0.3333, 0.6667, 0.5128) and H at (0.6667, 0.3333, 0.9551).

As for the final energy: -28.00 eV/f.u.

***

Computed, not measured: a relaxed VCo2GeH crystal at the PBE level of DFT.

The structure belongs to space group P4/mmm (No. 123); the cell edges are 3.6476, 3.6476 and 3.7527 Å and the angles 90.00°, 90.00° and 90.00°. The inequivalent atoms are V at (0.0000, 0.0000, 0.0000), Co at (0.0000, 0.5000, 0.5000), Ge at (0.5000, 0.5000, 0.0000) and H at (0.0000, 0.0000, 0.5000).

As for the final energy: -32.06 eV/f.u.

***

Computed, not measured: a relaxed VCoGe2H crystal at the PBE level of DFT.

The structure belongs to space group P4/mmm (No. 123); the cell edges are 4.7944, 4.7944 and 4.1328 Å and the angles 90.00°, 90.00° and 90.00°. The inequivalent atoms are V at (0.0000, 0.0000, 0.0000), Co at (0.0000, 0.0000, 0.5000), Ge at (0.0000, 0.5000, 0.0000) and H at (0.5000, 0.5000, 0.5000).

As for the final energy: -23.12 eV/f.u.

***

Computed, not measured: a relaxed Co2GeHW crystal at the PBE level of DFT.

The structure belongs to space group P4/mmm (No. 123); the cell edges are 3.6831, 3.6831 and 3.9312 Å and the angles 90.00°, 90.00° and 90.00°. The inequivalent atoms are Co at (0.0000, 0.5000, 0.0000), Ge at (0.0000, 0.0000, 0.5000), H at (0.5000, 0.5000, 0.0000) and W at (0.5000, 0.5000, 0.5000).

As for the final energy: -34.56 eV/f.u.

***

Computed, not measured: a relaxed YCo2GeH crystal at the PBE level of DFT.

The structure belongs to space group Cmcm (No. 63); the cell edges are 3.6894, 10.2588 and 6.8978 Å and the angles 90.00°, 90.00° and 90.00°. The inequivalent atoms are Y at (0.0000, 0.0557, 0.2500), Co at (0.0000, 0.3413, 0.0567), Ge at (0.0000, 0.2252, 0.7500) and H at (0.0000, 0.5000, 0.0000).

As for the final energy: -30.94 eV/f.u.